(1)
# AcSm2Pb2

A relaxed structure of AcSm2Pb2 (PBE, Alexandria via LeMat-Bulk).

Space-group type: C2/m, No. 12
Energy of formation from the pure elements: -0.392 eV/atom

```
AcSm2Pb2
1.0
4.826 0.511 -0.279
-0.525 4.824 -0.279
-1.765 -2.189 7.528
Ac Sm Pb
1 2 2
direct
0.000 0.000 0.000
0.250 0.750 0.500
0.750 0.250 0.500
0.604 0.604 0.207
0.396 0.396 0.793
```

(2)
# AcSmPb

A relaxed structure of AcSmPb (PBE, Alexandria via LeMat-Bulk).

Excess energy over the best structure of this formula in the dataset: 0.177 eV per atom
Space-group type: P3m1, No. 156
Energy of formation from the pure elements: -0.252 eV/atom

```
AcSmPb
1.0
-0.624 4.091 -1.785
-5.200 -1.053 -0.594
1.772 2.239 4.511
Pb Ac Sm
1 1 1
direct
0.833 0.667 0.333
0.334 0.333 0.667
0.834 0.000 0.000
```

(3)
# AcSmSnPb

A relaxed structure of AcSmSnPb (PBE, Alexandria via LeMat-Bulk).

Space-group type: F-43m, No. 216
Energy of formation from the pure elements: -0.479 eV/atom

```
AcSmSnPb
1.0
5.681 0.000 0.000
2.840 4.920 0.000
2.840 1.640 4.638
Pb Ac Sn Sm
1 1 1 1
direct
0.750 0.750 0.750
0.500 0.500 0.500
0.250 0.250 0.250
0.000 0.000 0.000
```

(4)
# AcSmTmPb

A relaxed structure of AcSmTmPb (PBE, Alexandria via LeMat-Bulk).

Space-group type: F-43m, No. 216
Energy of formation from the pure elements: -0.052 eV/atom

```
AcSmTmPb
1.0
5.631 0.000 0.000
2.815 4.876 0.000
2.815 1.625 4.597
Pb Ac Tm Sm
1 1 1 1
direct
0.250 0.250 0.250
0.750 0.750 0.750
0.500 0.500 0.500
0.000 0.000 0.000
```

(5)
# AcSmYPb

A relaxed structure of AcSmYPb (PBE, Alexandria via LeMat-Bulk).

Space-group type: F-43m, No. 216
Energy of formation from the pure elements: -0.089 eV/atom

```
AcSmYPb
1.0
-5.221 2.141 -0.382
-3.628 -0.610 4.296
-1.455 4.480 3.131
Pb Y Ac Sm
1 1 1 1
direct
0.750 0.750 0.750
0.000 0.000 0.000
0.250 0.250 0.250
0.500 0.500 0.500
```

(6)
# AcSmZnPb

A relaxed structure of AcSmZnPb (PBE, Alexandria via LeMat-Bulk).

Space-group type: F-43m, No. 216
Energy of formation from the pure elements: -0.345 eV/atom

```
AcSmZnPb
1.0
5.553 0.000 0.000
2.776 4.809 0.000
2.776 1.603 4.534
Pb Ac Zn Sm
1 1 1 1
direct
0.500 0.500 0.500
0.750 0.750 0.750
0.000 0.000 0.000
0.250 0.250 0.250
```

(7)
# AcSm2Zn2Pb2

A relaxed structure of AcSm2Zn2Pb2 (PBE, Alexandria via LeMat-Bulk).

Space-group type: R-3m, No. 166
Energy of formation from the pure elements: -0.235 eV/atom

```
AcSm2Zn2Pb2
1.0
4.870 0.000 0.000
2.435 4.217 0.000
2.435 1.406 9.830
Ac Sm Zn Pb
1 2 2 2
direct
0.000 0.000 0.000
0.134 0.134 0.598
0.866 0.866 0.402
0.568 0.568 0.295
0.432 0.432 0.705
0.737 0.737 0.790
0.263 0.263 0.210
```

(8)
# Ac2Sn2Pb3

A relaxed structure of Ac2Sn2Pb3 (PBE, Alexandria via LeMat-Bulk).

Excess energy over the best structure of this formula in the dataset: 0.000 eV per atom
Space-group type: C2/m, No. 12
Energy of formation from the pure elements: -0.447 eV/atom

```
Ac2Sn2Pb3
1.0
-0.239 4.177 -2.205
-3.237 -4.686 -3.454
-6.100 2.049 4.543
Ac Sn Pb
2 2 3
direct
0.619 0.237 0.307
0.381 0.763 0.693
0.100 0.200 0.620
0.900 0.800 0.380
0.315 0.629 0.139
0.000 0.000 0.000
0.685 0.371 0.861
```

Computed size of the total moment (μB per formula unit) in order:
0.001, 0.000, 0.001, 0.000, 0.002, 0.000, 0.001, 0.000
Computed calculated volume (Å³/f.u.) in order:
172, 111, 130, 126, 128, 121, 202, 230
Computed electronic total energy (eV/atom) in order:
-4.584, -4.431, -4.613, -4.303, -4.839, -3.798, -3.594, -4.354